Here is a relaxed AlFe3N crystal from the Alexandria database. Energies are from GGA-PBE.

Results
raw formation energy: 2.1224 eV per atom
total energy: -26.84 eV per cell
D(E_F): 14.91 states/eV per cell

Cell: 4.346 4.346 4.346 Å, 90.00 90.00 90.00°
Fractional positions:
N: 0.500 0.500 0.500
Fe: 0.500 0.000 0.000
Fe: 0.000 0.000 0.500
Al: 0.000 0.000 0.000
Fe: 0.000 0.500 0.000

Here is a relaxed Ga2SnF8 crystal from the Alexandria database. Energies are from GGA-PBE.

Results
raw formation energy: -2.3919 eV per atom
E above lowest polymorph: 1.23 kcal/mol of atoms
total energy: -51.34 eV per cell
D(E_F): 0.00 states/eV per cell

Cell: 6.058 6.248 6.248 Å, 52.24 107.08 107.08°
Fractional positions:
Ga: 0.293 0.784 0.784
F: 0.798 0.384 0.384
F: 0.202 0.616 0.616
Ga: 0.707 0.216 0.216
F: 0.613 0.835 0.835
F: 0.806 0.371 0.896
F: 0.387 0.165 0.165
F: 0.194 0.104 0.629
F: 0.806 0.896 0.371
F: 0.194 0.629 0.104
Sn: 0.000 0.000 0.000

Here is a relaxed Cd2PbAu crystal from the Alexandria database. Energies are from GGA-PBE.

Results
energy of formation from the pure elements: 0.012 eV/atom
total energy: -8.77 eV per cell
D(E_F): 1.35 states/eV per cell

Cell: 9.484 9.484 9.484 Å, 21.37 21.37 21.37°
Fractional positions:
Au: 0.750 0.750 0.750
Cd: 0.489 0.489 0.489
Cd: 0.011 0.011 0.011
Pb: 0.250 0.250 0.250

Here is a relaxed P2C crystal from the Alexandria database. Energies are from GGA-PBE.

Results
E above lowest polymorph: 12.00 kcal/mol of atoms
energy of formation from the pure elements: 0.951 eV/atom
total energy: -34.38 eV per cell
D(E_F): 0.85 states/eV per cell

Cell: 14.098 14.098 14.098 Å, 169.41 169.42 14.99°
Fractional positions:
C: 0.081 0.330 0.752
P: 0.408 0.160 0.248
P: 0.592 0.840 0.752
C: 0.919 0.670 0.248
P: 0.676 0.925 0.752
P: 0.324 0.075 0.248

Here is a relaxed NpTiTe2 crystal from the Alexandria database. Energies are from GGA-PBE.

Results
raw formation energy: 0.0773 eV per atom
total energy: -26.81 eV per cell
D(E_F): 12.55 states/eV per cell

Cell: 4.108 4.108 9.624 Å, 77.68 77.68 60.00°
Fractional positions:
Ti: 0.000 0.000 0.000
Np: 0.500 0.500 0.500
Te: 0.904 0.904 0.289
Te: 0.096 0.096 0.711

Here is a relaxed LiMgZn2 crystal from the Alexandria database. Energies are from GGA-PBE.

Results
energy of formation from the pure elements: -0.108 eV/atom
total energy: -6.49 eV per cell
D(E_F): 1.62 states/eV per cell

Cell: 5.038 5.038 4.878 Å, 76.53 76.53 34.17°
Fractional positions:
Zn: 0.262 0.262 0.260
Mg: 0.737 0.737 0.771
Zn: 0.986 0.986 0.000
Li: 0.515 0.515 0.469

Copy entry 1 word for word.
Here is a relaxed AlFe3N crystal from the Alexandria database. Energies are from GGA-PBE.

Results
raw formation energy: 2.1224 eV per atom
total energy: -26.84 eV per cell
D(E_F): 14.91 states/eV per cell

Cell: 4.346 4.346 4.346 Å, 90.00 90.00 90.00°
Fractional positions:
N: 0.500 0.500 0.500
Fe: 0.500 0.000 0.000
Fe: 0.000 0.000 0.500
Al: 0.000 0.000 0.000
Fe: 0.000 0.500 0.000

Question: Which formula does entry 5 have?
Answer: NpTiTe2